Material: Ac2DyScS5
Method: DFT, PBE-GGA
State: optimized geometry

The uncorrected formation energy comes out at -2.013 eV/atom. The calculation puts the uncorrected energy at -6.434 eV/atom.

The structure belongs to space group Cmc2_1 (No. 36); the cell edges are 4.0812, 16.7445 and 12.7183 Å and the angles 90.00°, 90.00° and 90.00°. The inequivalent atoms are Ac at (0.0000, 0.1054, 0.0000), Ac at (0.0000, 0.1431, 0.6195), Dy at (0.0000, 0.2083, 0.3255), Sc at (0.0000, 0.4712, 0.7710), S at (0.0000, 0.0538, 0.3808), S at (0.0000, 0.2810, 0.9729), S at (0.0000, 0.3242, 0.6813), S at (0.0000, 0.3725, 0.3126) and S at (0.0000, 0.4871, 0.0843).